Below is crystalline CaTaTl2Te at its relaxed geometry, with properties calculated at the GGA-PBEsol level.

Magnetic moment   3.2 μB/f.u.
Raw formation energy   1.347 eV per atom
Space group   No. 123

Lattice parameters (Å, degrees): 5.609 5.609 5.501 90.00 90.00 90.00
Element x y z (fractional)
Ca1 0.000 0.000 0.000
Ta1 0.500 0.500 0.500
Tl1 0.000 0.500 0.000
Tl2 0.500 0.000 0.000
Te1 0.000 0.000 0.500



Below is crystalline TcTe2SeN at its relaxed geometry, with properties calculated at the GGA-PBEsol level.

Magnetic moment   0.0 μB/f.u.
Raw formation energy   0.230 eV per atom
Space group   No. 123

Lattice parameters (Å, degrees): 5.285 5.285 3.673 90.00 90.00 90.00
Element x y z (fractional)
Tc1 0.000 0.000 0.000
Te1 0.000 0.500 0.000
Te2 0.500 0.000 0.000
Se1 0.500 0.500 0.500
N1 0.000 0.000 0.500